Record 1
# NaMg14Fe PBE optimized geometry
# * polymorph energy (0 for the lowest one): 0.00 kJ per mole of atoms
# * calculated formation energy: 142 kJ/mol of formula units
# * space-group type: P-6m2
data_NaMg14Fe
_chemical_formula_sum 'Na1 Mg14 Fe1'
_space_group_name_H-M_alt 'P 1'
_space_group_IT_number 1
_cell_length_a 6.3128
_cell_length_b 6.3128
_cell_length_c 10.2564
_cell_angle_alpha 90.00
_cell_angle_beta 90.00
_cell_angle_gamma 120.00
loop_
_space_group_symop_operation_xyz
'x,y,z'
loop_
_atom_site_label
_atom_site_type_symbol
_atom_site_fract_x
_atom_site_fract_y
_atom_site_fract_z
_atom_site_occupancy
Na1 Na 0.0000 0.0000 0.0000 1
Mg1 Mg 0.0057 0.5029 0.0000 1
Mg2 Mg 0.1630 0.3259 0.2646 1
Mg3 Mg 0.1630 0.3259 0.7354 1
Mg4 Mg 0.1630 0.8370 0.2646 1
Mg5 Mg 0.1630 0.8370 0.7354 1
Mg6 Mg 0.4971 0.5029 0.0000 1
Mg7 Mg 0.4971 0.9943 0.0000 1
Mg8 Mg 0.5027 0.0054 0.5000 1
Mg9 Mg 0.5027 0.4973 0.5000 1
Mg10 Mg 0.6667 0.3333 0.2445 1
Mg11 Mg 0.6667 0.3333 0.7555 1
Mg12 Mg 0.6741 0.8370 0.2646 1
Mg13 Mg 0.6741 0.8370 0.7354 1
Mg14 Mg 0.9946 0.4973 0.5000 1
Fe1 Fe 0.0000 0.0000 0.5000 1

***

Record 2
# Hf2AgPd2 PBE optimized geometry
# * polymorph energy (0 for the lowest one): 19.54 kJ per mole of atoms
# * calculated formation energy: -146 kJ/mol of formula units
# * space-group type: P4/mbm
data_Hf2AgPd2
_chemical_formula_sum 'Hf4 Ag2 Pd4'
_space_group_name_H-M_alt 'P 1'
_space_group_IT_number 1
_cell_length_a 7.9959
_cell_length_b 7.9959
_cell_length_c 3.0033
_cell_angle_alpha 90.00
_cell_angle_beta 90.00
_cell_angle_gamma 90.00
loop_
_space_group_symop_operation_xyz
'x,y,z'
loop_
_atom_site_label
_atom_site_type_symbol
_atom_site_fract_x
_atom_site_fract_y
_atom_site_fract_z
_atom_site_occupancy
Hf1 Hf 0.1580 0.3420 0.0000 1
Hf2 Hf 0.3420 0.8420 0.0000 1
Hf3 Hf 0.6580 0.1580 0.0000 1
Hf4 Hf 0.8420 0.6580 0.0000 1
Ag1 Ag 0.0000 0.0000 0.0000 1
Ag2 Ag 0.5000 0.5000 0.0000 1
Pd1 Pd 0.1352 0.6352 0.5000 1
Pd2 Pd 0.3648 0.1352 0.5000 1
Pd3 Pd 0.6352 0.8648 0.5000 1
Pd4 Pd 0.8648 0.3648 0.5000 1

***

Record 3
# Nd2WN4 PBE optimized geometry
# * polymorph energy (0 for the lowest one): 9.07 kJ per mole of atoms
# * space-group type: P2_1/m
# * E_form (uncorrected): -1.04 eV per atom
data_Nd2WN4
_chemical_formula_sum 'Nd4 W2 N8'
_space_group_name_H-M_alt 'P 1'
_space_group_IT_number 1
_cell_length_a 5.9556
_cell_length_b 6.0084
_cell_length_c 6.9161
_cell_angle_alpha 90.00
_cell_angle_beta 108.77
_cell_angle_gamma 90.00
loop_
_space_group_symop_operation_xyz
'x,y,z'
loop_
_atom_site_label
_atom_site_type_symbol
_atom_site_fract_x
_atom_site_fract_y
_atom_site_fract_z
_atom_site_occupancy
Nd1 Nd 0.1797 0.2500 0.0266 1
Nd2 Nd 0.2694 0.2500 0.5620 1
Nd3 Nd 0.7306 0.7500 0.4380 1
Nd4 Nd 0.8203 0.7500 0.9734 1
W1 W 0.2662 0.7500 0.8062 1
W2 W 0.7338 0.2500 0.1938 1
N1 N 0.0486 0.5093 0.7462 1
N2 N 0.0486 0.9907 0.7462 1
N3 N 0.4501 0.7500 0.0799 1
N4 N 0.4730 0.7500 0.6517 1
N5 N 0.5270 0.2500 0.3483 1
N6 N 0.5499 0.2500 0.9201 1
N7 N 0.9514 0.0093 0.2538 1
N8 N 0.9514 0.4907 0.2538 1

***

Record 4
# TmMnWC3 PBE optimized geometry
# * calculated formation energy: 18 kJ/mol of formula units
# * space-group type: P2_1/m
data_TmMnWC3
_chemical_formula_sum 'Tm2 Mn2 W2 C6'
_space_group_name_H-M_alt 'P 1'
_space_group_IT_number 1
_cell_length_a 6.6060
_cell_length_b 3.2425
_cell_length_c 7.2800
_cell_angle_alpha 90.00
_cell_angle_beta 102.34
_cell_angle_gamma 90.00
loop_
_space_group_symop_operation_xyz
'x,y,z'
loop_
_atom_site_label
_atom_site_type_symbol
_atom_site_fract_x
_atom_site_fract_y
_atom_site_fract_z
_atom_site_occupancy
Tm1 Tm 0.1754 0.2500 0.1941 1
Tm2 Tm 0.8246 0.7500 0.8059 1
Mn1 Mn 0.1096 0.2500 0.6027 1
Mn2 Mn 0.8904 0.7500 0.3973 1
W1 W 0.3525 0.7500 0.8648 1
W2 W 0.6475 0.2500 0.1352 1
C1 C 0.1209 0.2500 0.8590 1
C2 C 0.1815 0.7500 0.5216 1
C3 C 0.4351 0.7500 0.1594 1
C4 C 0.5649 0.2500 0.8406 1
C5 C 0.8185 0.2500 0.4784 1
C6 C 0.8791 0.7500 0.1410 1

***

Record 5
# SrTcN2 PBE optimized geometry
# * polymorph energy (0 for the lowest one): 121.70 kJ per mole of atoms
# * space-group type: Fm-3m
# * E_form (uncorrected): 0.78 eV per atom
data_SrTcN2
_chemical_formula_sum 'Sr4 Tc4 N8'
_space_group_name_H-M_alt 'P 1'
_space_group_IT_number 1
_cell_length_a 5.8096
_cell_length_b 5.8096
_cell_length_c 5.8096
_cell_angle_alpha 90.00
_cell_angle_beta 90.00
_cell_angle_gamma 90.00
loop_
_space_group_symop_operation_xyz
'x,y,z'
loop_
_atom_site_label
_atom_site_type_symbol
_atom_site_fract_x
_atom_site_fract_y
_atom_site_fract_z
_atom_site_occupancy
Sr1 Sr 0.0000 0.0000 0.0000 1
Sr2 Sr 0.0000 0.5000 0.5000 1
Sr3 Sr 0.5000 0.0000 0.5000 1
Sr4 Sr 0.5000 0.5000 0.0000 1
Tc1 Tc 0.0000 0.0000 0.5000 1
Tc2 Tc 0.0000 0.5000 0.0000 1
Tc3 Tc 0.5000 0.0000 0.0000 1
Tc4 Tc 0.5000 0.5000 0.5000 1
N1 N 0.2500 0.2500 0.2500 1
N2 N 0.2500 0.2500 0.7500 1
N3 N 0.2500 0.7500 0.2500 1
N4 N 0.2500 0.7500 0.7500 1
N5 N 0.7500 0.2500 0.2500 1
N6 N 0.7500 0.2500 0.7500 1
N7 N 0.7500 0.7500 0.2500 1
N8 N 0.7500 0.7500 0.7500 1

***

Record 6
# NpInGa PBE optimized geometry
# * polymorph energy (0 for the lowest one): 10.44 kJ per mole of atoms
# * calculated formation energy: 25 kJ/mol of formula units
# * space-group type: I4mm
data_NpInGa
_chemical_formula_sum 'Np2 In2 Ga2'
_space_group_name_H-M_alt 'P 1'
_space_group_IT_number 1
_cell_length_a 3.3216
_cell_length_b 3.3216
_cell_length_c 12.4442
_cell_angle_alpha 90.00
_cell_angle_beta 90.00
_cell_angle_gamma 90.00
loop_
_space_group_symop_operation_xyz
'x,y,z'
loop_
_atom_site_label
_atom_site_type_symbol
_atom_site_fract_x
_atom_site_fract_y
_atom_site_fract_z
_atom_site_occupancy
Np1 Np 0.0000 0.0000 0.0000 1
Np2 Np 0.5000 0.5000 0.5000 1
In1 In 0.0000 0.0000 0.6920 1
In2 In 0.5000 0.5000 0.1920 1
Ga1 Ga 0.0000 0.0000 0.3401 1
Ga2 Ga 0.5000 0.5000 0.8401 1

***

Record 7
# Ac4RuS2Br PBE optimized geometry
# * space-group type: P2/m
# * E_form (uncorrected): -1.29 eV per atom
data_Ac4RuS2Br
_chemical_formula_sum 'Ac4 Ru1 S2 Br1'
_space_group_name_H-M_alt 'P 1'
_space_group_IT_number 1
_cell_length_a 7.6196
_cell_length_b 4.2775
_cell_length_c 7.8209
_cell_angle_alpha 90.00
_cell_angle_beta 107.56
_cell_angle_gamma 90.00
loop_
_space_group_symop_operation_xyz
'x,y,z'
loop_
_atom_site_label
_atom_site_type_symbol
_atom_site_fract_x
_atom_site_fract_y
_atom_site_fract_z
_atom_site_occupancy
Ac1 Ac 0.2395 0.0000 0.2222 1
Ac2 Ac 0.2597 0.5000 0.7745 1
Ac3 Ac 0.7403 0.5000 0.2255 1
Ac4 Ac 0.7605 0.0000 0.7778 1
Ru1 Ru 0.5000 0.0000 0.0000 1
S1 S 0.0000 0.0000 0.5000 1
S2 S 0.0000 0.5000 0.0000 1
Br1 Br 0.5000 0.5000 0.5000 1

***

Record 8
# Sm12AlCd6 PBE optimized geometry
# * calculated formation energy: -230 kJ/mol of formula units
# * space-group type: R-3
data_Sm12AlCd6
_chemical_formula_sum 'Sm12 Al1 Cd6'
_space_group_name_H-M_alt 'P 1'
_space_group_IT_number 1
_cell_length_a 8.1849
_cell_length_b 8.1849
_cell_length_c 8.1849
_cell_angle_alpha 88.32
_cell_angle_beta 88.32
_cell_angle_gamma 88.32
loop_
_space_group_symop_operation_xyz
'x,y,z'
loop_
_atom_site_label
_atom_site_type_symbol
_atom_site_fract_x
_atom_site_fract_y
_atom_site_fract_z
_atom_site_occupancy
Sm1 Sm 0.0296 0.9473 0.3055 1
Sm2 Sm 0.0527 0.6945 0.9704 1
Sm3 Sm 0.1321 0.4791 0.3524 1
Sm4 Sm 0.3055 0.0296 0.9473 1
Sm5 Sm 0.3524 0.1321 0.4791 1
Sm6 Sm 0.4791 0.3524 0.1321 1
Sm7 Sm 0.5209 0.6476 0.8679 1
Sm8 Sm 0.6476 0.8679 0.5209 1
Sm9 Sm 0.6945 0.9704 0.0527 1
Sm10 Sm 0.8679 0.5209 0.6476 1
Sm11 Sm 0.9473 0.3055 0.0296 1
Sm12 Sm 0.9704 0.0527 0.6945 1
Al1 Al 0.5000 0.5000 0.5000 1
Cd1 Cd 0.2396 0.3909 0.7591 1
Cd2 Cd 0.2409 0.7604 0.6091 1
Cd3 Cd 0.3909 0.7591 0.2396 1
Cd4 Cd 0.6091 0.2409 0.7604 1
Cd5 Cd 0.7591 0.2396 0.3909 1
Cd6 Cd 0.7604 0.6091 0.2409 1

***

Record 9
# ZnAg2Rh PBE optimized geometry
# * calculated formation energy: 11 kJ/mol of formula units
# * space-group type: Cm
data_ZnAg2Rh
_chemical_formula_sum 'Zn2 Ag4 Rh2'
_space_group_name_H-M_alt 'P 1'
_space_group_IT_number 1
_cell_length_a 9.6499
_cell_length_b 3.0176
_cell_length_c 4.7062
_cell_angle_alpha 90.00
_cell_angle_beta 111.25
_cell_angle_gamma 90.00
loop_
_space_group_symop_operation_xyz
'x,y,z'
loop_
_atom_site_label
_atom_site_type_symbol
_atom_site_fract_x
_atom_site_fract_y
_atom_site_fract_z
_atom_site_occupancy
Zn1 Zn 0.0000 0.0000 0.0000 1
Zn2 Zn 0.5000 0.5000 0.0000 1
Ag1 Ag 0.2580 0.0000 0.6826 1
Ag2 Ag 0.4962 0.0000 0.4813 1
Ag3 Ag 0.7580 0.5000 0.6826 1
Ag4 Ag 0.9962 0.5000 0.4813 1
Rh1 Rh 0.2323 0.5000 0.1576 1
Rh2 Rh 0.7323 0.0000 0.1576 1

***

Record 10
# ZnCd2Ru PBE optimized geometry
# * calculated formation energy: 117 kJ/mol of formula units
# * space-group type: R-3m
data_ZnCd2Ru
_chemical_formula_sum 'Zn3 Cd6 Ru3'
_space_group_name_H-M_alt 'P 1'
_space_group_IT_number 1
_cell_length_a 2.9063
_cell_length_b 2.9063
_cell_length_c 29.4688
_cell_angle_alpha 90.00
_cell_angle_beta 90.00
_cell_angle_gamma 120.00
loop_
_space_group_symop_operation_xyz
'x,y,z'
loop_
_atom_site_label
_atom_site_type_symbol
_atom_site_fract_x
_atom_site_fract_y
_atom_site_fract_z
_atom_site_occupancy
Zn1 Zn 0.0000 0.0000 0.0000 1
Zn2 Zn 0.3333 0.6667 0.6667 1
Zn3 Zn 0.6667 0.3333 0.3333 1
Cd1 Cd 0.0000 0.0000 0.2457 1
Cd2 Cd 0.0000 0.0000 0.7543 1
Cd3 Cd 0.3333 0.6667 0.4210 1
Cd4 Cd 0.3333 0.6667 0.9124 1
Cd5 Cd 0.6667 0.3333 0.0876 1
Cd6 Cd 0.6667 0.3333 0.5790 1
Ru1 Ru 0.0000 0.0000 0.5000 1
Ru2 Ru 0.3333 0.6667 0.1667 1
Ru3 Ru 0.6667 0.3333 0.8333 1

***

Record 11
# Ce2ScFe PBE optimized geometry
# * polymorph energy (0 for the lowest one): 0.00 kJ per mole of atoms
# * calculated formation energy: 63 kJ/mol of formula units
# * space-group type: R3m
data_Ce2ScFe
_chemical_formula_sum 'Ce6 Sc3 Fe3'
_space_group_name_H-M_alt 'P 1'
_space_group_IT_number 1
_cell_length_a 3.6376
_cell_length_b 3.6376
_cell_length_c 25.3962
_cell_angle_alpha 90.00
_cell_angle_beta 90.00
_cell_angle_gamma 120.00
loop_
_space_group_symop_operation_xyz
'x,y,z'
loop_
_atom_site_label
_atom_site_type_symbol
_atom_site_fract_x
_atom_site_fract_y
_atom_site_fract_z
_atom_site_occupancy
Ce1 Ce 0.0000 0.0000 0.0000 1
Ce2 Ce 0.0000 0.0000 0.2103 1
Ce3 Ce 0.3333 0.6667 0.6667 1
Ce4 Ce 0.3333 0.6667 0.8769 1
Ce5 Ce 0.6667 0.3333 0.3333 1
Ce6 Ce 0.6667 0.3333 0.5436 1
Sc1 Sc 0.0000 0.0000 0.7726 1
Sc2 Sc 0.3333 0.6667 0.4393 1
Sc3 Sc 0.6667 0.3333 0.1060 1
Fe1 Fe 0.0000 0.0000 0.6070 1
Fe2 Fe 0.3333 0.6667 0.2737 1
Fe3 Fe 0.6667 0.3333 0.9404 1

***

Record 12
# TiMn PBE optimized geometry
# * calculated formation energy: 81 kJ/mol of formula units
# * space-group type: P4_2/mnm
data_TiMn
_chemical_formula_sum 'Ti4 Mn4'
_space_group_name_H-M_alt 'P 1'
_space_group_IT_number 1
_cell_length_a 4.9442
_cell_length_b 4.9442
_cell_length_c 4.9946
_cell_angle_alpha 90.00
_cell_angle_beta 90.00
_cell_angle_gamma 90.00
loop_
_space_group_symop_operation_xyz
'x,y,z'
loop_
_atom_site_label
_atom_site_type_symbol
_atom_site_fract_x
_atom_site_fract_y
_atom_site_fract_z
_atom_site_occupancy
Ti1 Ti 0.2009 0.2009 0.0000 1
Ti2 Ti 0.2991 0.7009 0.5000 1
Ti3 Ti 0.7009 0.2991 0.5000 1
Ti4 Ti 0.7991 0.7991 0.0000 1
Mn1 Mn 0.1912 0.1912 0.5000 1
Mn2 Mn 0.3088 0.6912 0.0000 1
Mn3 Mn 0.6912 0.3088 0.0000 1
Mn4 Mn 0.8088 0.8088 0.5000 1